# Ti3Pt2Rh (PBE-GGA, relaxed)
data_Ti3Pt2Rh
_chemical_formula_sum 'Ti3 Pt2 Rh1'
_cell_length_a 2.867
_cell_length_b 2.867
_cell_length_c 11.227
_cell_angle_alpha 90.00
_cell_angle_beta 90.00
_cell_angle_gamma 90.00
_symmetry_space_group_name_H-M 'P 4/m m m'
_symmetry_Int_Tables_number 123
_symmetry_space_group_name_Hall '-P 4 2'
loop_
_atom_site_label
_atom_site_fract_x
_atom_site_fract_y
_atom_site_fract_z
Ti1 0.000 0.000 0.000
Ti2 0.000 0.000 0.341
Pt1 0.500 0.500 0.171
Rh1 0.500 0.500 0.500
# calculated formation energy = -5.09 eV per formula unit
# energy above the lowest structure with this stoichiometry = 0 kJ/mol of formula units
# crystal system = tetragonal
# volume = 15.38 Å³ per atom